[1]
5
Lattice="4.956 0.000 0.000 0.000 4.956 0.000 0.000 0.000 4.956" Properties=species:S:1:pos:R:3 comment="PBE YNbGe3, optimized geometry" e_form_ev_per_atom=0.04 pbc="T T T"
Y 2.478 2.478 2.478
Nb 0.000 0.000 0.000
Ge 0.000 2.478 0.000
Ge 0.000 0.000 2.478
Ge 2.478 0.000 0.000



[2]
4
Lattice="4.178 0.000 0.000 2.089 3.618 0.000 2.089 1.206 7.252" Properties=species:S:1:pos:R:3 comment="PBE Tb2IrF, optimized geometry" e_form_raw_ev_per_atom=-1.77 pbc="T T T"
Ir 4.178 2.412 3.626
Tb 2.089 1.206 5.030
Tb 6.267 3.618 2.223
F 0.000 0.000 0.000



[3]
4
Lattice="-1.314 -0.954 -2.476 2.857 -0.605 0.487 -2.359 -7.733 4.232" Properties=species:S:1:pos:R:3 comment="PBE TaTc, optimized geometry" e_form_ev_per_atom=0.48 pbc="T T T"
Ta 1.354 -1.091 -0.298
Ta -1.216 -5.075 0.831
Tc 0.705 -3.220 0.867
Tc -1.865 -7.203 1.996



[4]
4
Lattice="2.950 0.000 0.000 0.000 2.950 0.000 0.000 0.000 7.330" Properties=species:S:1:pos:R:3 comment="PBE UCrRe2, optimized geometry" e_form_ev_per_atom=0.09 pbc="T T T"
Re 0.000 0.000 5.840
Re 0.000 0.000 1.490
U 1.475 1.475 3.665
Cr 1.475 1.475 0.000



[5]
5
Lattice="-3.945 4.034 -2.893 0.576 -3.299 -5.384 -3.957 -1.298 -3.362" Properties=species:S:1:pos:R:3 comment="PBE Ga2Br2N, optimized geometry" e_form_raw_ev_per_atom=0.23 pbc="T T T"
Ga -2.620 -0.318 -3.819
Ga -4.706 -0.245 -7.821
Br -4.793 1.552 -5.197
Br -2.532 -2.114 -6.442
N 0.000 0.000 0.000



[6]
12
Lattice="7.253 0.000 0.000 0.000 7.925 0.000 -3.627 -3.962 7.946" Properties=species:S:1:pos:R:3 comment="PBE Rb2NaTl2Pt, optimized geometry" e_form_ev_per_atom=-0.13 pbc="T T T"
Rb 1.794 0.000 2.672
Rb 1.833 3.963 5.274
Rb -1.833 0.000 5.274
Rb 5.460 3.962 2.672
Na 0.000 5.944 0.000
Na 0.000 1.981 0.000
Tl 5.103 0.000 1.285
Tl 2.150 3.962 1.285
Tl 1.476 0.000 6.661
Tl -1.476 3.962 6.661
Pt 3.627 5.944 0.000
Pt 3.627 1.981 0.000



[7]
4
Lattice="-2.724 -1.099 3.312 0.071 2.302 3.780 -3.393 2.644 1.046" Properties=species:S:1:pos:R:3 comment="PBE MgAu2N, optimized geometry" e_form_raw_ev_per_atom=0.75 pbc="T T T"
Mg -3.023 1.923 4.069
Au -1.511 0.962 2.034
Au -4.534 2.885 6.103
N 0.000 0.000 0.000



[8]
8
Lattice="-3.470 -0.886 -2.184 -3.353 -2.163 6.203 -3.489 5.862 3.163" Properties=species:S:1:pos:R:3 comment="PBE TbSn2HgSe4, optimized geometry" e_form_raw_ev_per_atom=-0.72 pbc="T T T"
Tb -3.421 1.850 4.683
Sn -3.489 5.862 3.163
Sn -3.479 2.488 0.489
Hg -6.900 4.338 5.172
Se -5.073 2.693 6.966
Se -5.238 0.120 0.216
Se -5.173 -0.470 4.380
Se -5.138 3.283 2.802



no.,Fermi-level density of states (states/eV per cell),E (eV per atom),total moment (μB/f.u.)
1,3.029,-6.041,0.00
2,1.957,-6.765,0.00
3,2.987,-10.625,0.00
4,4.889,-11.363,0.00
5,1.517,-3.318,0.00
6,5.323,-2.468,0.00
7,3.529,-3.364,0.43
8,3.750,-4.075,0.00